! Nb3VI9, optimized geometry, DFT GGA-PBE; values from VASP
&SYSTEM
  ibrav = 0, nat = 26, ntyp = 3
/
ATOMIC_SPECIES
Nb 92.91 Nb.upf
V 50.94 V.upf
I 126.90 I.upf
ATOMIC_POSITIONS angstrom
Nb 10.378 6.106 13.261
Nb 9.052 0.813 5.957
Nb 12.986 9.639 17.193
Nb 4.416 4.346 6.841
Nb 6.584 3.169 11.522
Nb 7.659 8.024 6.941
V 2.489 4.906 2.013
V 8.435 10.198 11.262
I 3.950 1.826 5.713
I 4.768 7.119 12.803
I 4.921 3.338 13.730
I 7.243 8.193 9.674
I 1.941 0.857 9.150
I 3.251 5.712 4.668
I 10.288 7.488 6.132
I 5.325 2.633 9.078
I 11.161 9.595 10.713
I 10.790 4.740 15.590
I 8.732 8.312 13.470
I 10.052 3.020 7.280
I 6.965 5.377 6.436
I 7.430 0.522 11.666
I 9.052 4.422 11.461
I 5.978 9.277 5.133
I 7.696 1.170 3.570
I 3.681 6.463 8.627
CELL_PARAMETERS angstrom
9.351 0.000 3.935
4.063 10.148 3.422
0.464 0.438 11.975
! **Crystal system**: monoclinic
! **Energy**: -0.1523 hartree per atom


! Nb2V2I, optimized geometry, DFT GGA-PBE; values from VASP
&SYSTEM
  ibrav = 0, nat = 5, ntyp = 3
/
ATOMIC_SPECIES
I 126.90 I.upf
Nb 92.91 Nb.upf
V 50.94 V.upf
ATOMIC_POSITIONS angstrom
I 0.000 0.000 0.000
Nb -3.111 0.514 -0.093
Nb -7.228 2.869 -0.370
V -5.151 1.577 -1.469
V -5.187 1.805 1.006
CELL_PARAMETERS angstrom
-2.148 -1.413 -2.397
-2.220 -0.956 2.552
-5.971 5.752 -0.618
! **Crystal system**: tetragonal
! **Offset from the most stable computed form**: 0 meV per atom


! Nb3VI, optimized geometry, DFT GGA-PBE; values from VASP
&SYSTEM
  ibrav = 0, nat = 5, ntyp = 3
/
ATOMIC_SPECIES
I 126.90 I.upf
Nb 92.91 Nb.upf
V 50.94 V.upf
ATOMIC_POSITIONS angstrom
I -3.708 1.391 1.197
Nb -2.016 -0.182 -1.268
Nb -1.169 -0.703 1.960
Nb -0.522 2.275 0.504
V 0.000 0.000 0.000
CELL_PARAMETERS angstrom
-1.045 4.551 1.008
-4.032 -0.364 -2.536
-2.339 -1.405 3.921
! **Crystal system**: cubic
! **Offset from the most stable computed form**: 0 meV per atom


! Nb3VI, optimized geometry, DFT GGA-PBE; values from VASP
&SYSTEM
  ibrav = 0, nat = 5, ntyp = 3
/
ATOMIC_SPECIES
I 126.90 I.upf
Nb 92.91 Nb.upf
V 50.94 V.upf
ATOMIC_POSITIONS angstrom
I 0.000 0.000 0.000
Nb 2.052 -1.174 -0.809
Nb 0.997 0.168 2.285
Nb -1.019 -2.199 0.606
V 2.029 -3.205 2.083
CELL_PARAMETERS angstrom
-2.039 -4.398 1.212
4.104 -2.348 -1.617
1.993 0.336 4.570
! **Crystal system**: cubic
! **Offset from the most stable computed form**: 731 meV per atom


! NbVI3, optimized geometry, DFT GGA-PBE; values from VASP
&SYSTEM
  ibrav = 0, nat = 5, ntyp = 3
/
ATOMIC_SPECIES
I 126.90 I.upf
Nb 92.91 Nb.upf
V 50.94 V.upf
ATOMIC_POSITIONS angstrom
I 0.000 2.850 0.000
I 0.000 0.000 2.850
I 2.850 0.000 0.000
Nb 0.000 0.000 0.000
V 2.850 2.850 2.850
CELL_PARAMETERS angstrom
5.700 0.000 0.000
0.000 5.700 0.000
0.000 0.000 5.700
! **Crystal system**: cubic
! **Offset from the most stable computed form**: 0 meV per atom


! Nb3WI, optimized geometry, DFT GGA-PBE; values from VASP
&SYSTEM
  ibrav = 0, nat = 5, ntyp = 3
/
ATOMIC_SPECIES
I 126.90 I.upf
Nb 92.91 Nb.upf
W 183.84 W.upf
ATOMIC_POSITIONS angstrom
I 0.000 0.000 0.000
Nb 0.081 -2.347 -0.731
Nb 2.362 -0.128 0.675
Nb -0.682 -0.724 2.250
W 1.761 -3.200 2.194
CELL_PARAMETERS angstrom
-1.365 -1.448 4.500
0.163 -4.695 -1.462
4.724 -0.257 1.350
! **Crystal system**: cubic
! **Offset from the most stable computed form**: 775 meV per atom


! NbW3I, optimized geometry, DFT GGA-PBE; values from VASP
&SYSTEM
  ibrav = 0, nat = 5, ntyp = 3
/
ATOMIC_SPECIES
I 126.90 I.upf
Nb 92.91 Nb.upf
W 183.84 W.upf
ATOMIC_POSITIONS angstrom
I 2.439 2.439 2.439
Nb 0.000 0.000 0.000
W 0.000 2.439 0.000
W 0.000 0.000 2.439
W 2.439 0.000 0.000
CELL_PARAMETERS angstrom
4.878 0.000 0.000
0.000 4.878 0.000
0.000 0.000 4.878
! **Crystal system**: cubic
! **Offset from the most stable computed form**: 0 meV per atom


! NbW3I, optimized geometry, DFT GGA-PBE; values from VASP
&SYSTEM
  ibrav = 0, nat = 5, ntyp = 3
/
ATOMIC_SPECIES
I 126.90 I.upf
Nb 92.91 Nb.upf
W 183.84 W.upf
ATOMIC_POSITIONS angstrom
I 0.000 0.000 0.000
Nb -4.007 -0.129 1.102
W -1.491 -1.837 -0.407
W -0.826 0.172 2.248
W -1.691 1.536 -0.738
CELL_PARAMETERS angstrom
-3.382 3.072 -1.477
-2.982 -3.674 -0.814
-1.651 0.344 4.495
! **Crystal system**: cubic
! **Offset from the most stable computed form**: 220 meV per atom